(1)
The following is a DFT calculation (PBE) of Mg2Ga3Os after structural relaxation.

## Properties
Its formation energy is 0.121 eV per atom. The calculation puts the total energy at -45.55 eV/cell. The value obtained for the theoretical density is 6.05 g cm⁻³.

Cell lengths 3.1885, 4.8880, 15.7783 Å; angles 90.00, 90.00, 90.00 degrees
Space group Immm (No. 71)
Symmetry-distinct sites (fractional):
Mg  0.0000  0.0000  0.2222 (multiplicity 4)
Ga  0.0000  0.5000  0.1232 (multiplicity 4)
Ga  0.0000  0.5000  0.5000 (multiplicity 2)
Os  0.0000  0.0000  0.5000 (multiplicity 2)


(2)
The following is a DFT calculation (PBE) of PmSm6Al after structural relaxation.

## Properties
Its formation energy is -0.058 eV per atom. The calculation puts the total energy at -37.27 eV/cell. The value obtained for the theoretical density is 7.15 g cm⁻³.

Cell lengths 4.9415, 4.9415, 10.2165 Å; angles 90.00, 90.00, 90.00 degrees
Space group P4/mmm (No. 123)
Symmetry-distinct sites (fractional):
Pm  0.0000  0.0000  0.0000 (multiplicity 1)
Sm  0.0000  0.5000  0.2633 (multiplicity 4)
Sm  0.5000  0.5000  0.0000 (multiplicity 1)
Sm  0.5000  0.5000  0.5000 (multiplicity 1)
Al  0.0000  0.0000  0.5000 (multiplicity 1)


(3)
The following is a DFT calculation (PBE) of Y2AlGa3 after structural relaxation.

## Properties
Its formation energy is -0.619 eV per atom. The calculation puts the total energy at -235.73 eV/cell. The value obtained for the theoretical density is 5.38 g cm⁻³.

Cell lengths 8.1438, 8.4955, 14.7814 Å; angles 90.00, 90.00, 90.00 degrees
Space group Fmmm (No. 69)
Symmetry-distinct sites (fractional):
Y  0.2472  0.0000  0.0000 (multiplicity 8)
Y  0.2500  0.2500  0.2500 (multiplicity 8)
Al  0.0000  0.0000  0.3336 (multiplicity 8)
Ga  0.0000  0.0000  0.1669 (multiplicity 8)
Ga  0.0000  0.2501  0.0829 (multiplicity 16)


Please write out number 3 again, unchanged.
The following is a DFT calculation (PBE) of Y2AlGa3 after structural relaxation.

## Properties
Its formation energy is -0.619 eV per atom. The calculation puts the total energy at -235.73 eV/cell. The value obtained for the theoretical density is 5.38 g cm⁻³.

Cell lengths 8.1438, 8.4955, 14.7814 Å; angles 90.00, 90.00, 90.00 degrees
Space group Fmmm (No. 69)
Symmetry-distinct sites (fractional):
Y  0.2472  0.0000  0.0000 (multiplicity 8)
Y  0.2500  0.2500  0.2500 (multiplicity 8)
Al  0.0000  0.0000  0.3336 (multiplicity 8)
Ga  0.0000  0.0000  0.1669 (multiplicity 8)
Ga  0.0000  0.2501  0.0829 (multiplicity 16)